The following is a DFT calculation (PBE with a Hubbard U) of a geometry-optimized Cs2KCrO4 structure.

Values from the calculation:
Its space group is Fddd. The value obtained for the calculated total energy is -5.21 eV per atom. The total moment comes out at 2.00 μB per cell.

Unit cell a=6.305 b=6.796 c=12.826 alpha=83.45 beta=75.77 gamma=62.36
Last column: magnetic moment on the atom in μB.
Fractional positions:
O 0.467 0.325 0.573  -0.02
O 0.789 0.825 0.927  -0.02
Cs 0.940 0.500 0.120  0.00
Cs 0.190 0.000 0.620  0.00
K 0.000 0.000 0.000  0.00
O 0.386 0.825 0.073  -0.02
Cr 0.500 0.000 0.000  1.06
Cs 0.810 0.000 0.380  0.00
Cs 0.560 0.500 0.880  0.00
O 0.364 0.675 0.427  -0.02
O 0.209 0.325 0.427  -0.02
O 0.283 0.175 0.927  -0.02
Cr 0.250 0.500 0.500  1.06
K 0.750 0.500 0.500  0.00
O 0.541 0.175 0.073  -0.02
O 0.961 0.675 0.573  -0.02